No. 1
# PmCo2Ge2P (GGA-PBE, relaxed)
# Magnetic moment, μB per cell: 0.000
# Total energy, eV/atom: -6.028
data_PmCo2Ge2P
_chemical_formula_sum 'Pm1 Co2 Ge2 P1'
_space_group_name_H-M_alt 'P 4/m m m'
_space_group_IT_number 123
_space_group_name_Hall '-P 4 2'
_cell_length_a 4.250
_cell_length_b 4.250
_cell_length_c 5.537
_cell_angle_alpha 90.00
_cell_angle_beta 90.00
_cell_angle_gamma 90.00
loop_
_atom_site_label
_atom_site_type_symbol
_atom_site_fract_x
_atom_site_fract_y
_atom_site_fract_z
Pm1 Pm 0.000 0.000 0.000
Co1 Co 0.000 0.500 0.500
Ge1 Ge 0.500 0.500 0.237
P1 P 0.000 0.000 0.500


No. 2
# CoGePRu2 (GGA-PBE, relaxed)
# Magnetic moment, μB per cell: 0.000
# Total energy, eV/atom: -6.168
data_CoGePRu2
_chemical_formula_sum 'Co1 Ge1 P1 Ru2'
_space_group_name_H-M_alt 'P 4/m m m'
_space_group_IT_number 123
_space_group_name_Hall '-P 4 2'
_cell_length_a 4.292
_cell_length_b 4.292
_cell_length_c 4.679
_cell_angle_alpha 90.00
_cell_angle_beta 90.00
_cell_angle_gamma 90.00
loop_
_atom_site_label
_atom_site_type_symbol
_atom_site_fract_x
_atom_site_fract_y
_atom_site_fract_z
Co1 Co 0.000 0.000 0.000
Ge1 Ge 0.500 0.500 0.000
P1 P 0.500 0.500 0.500
Ru1 Ru 0.000 0.500 0.500


No. 3
# CoGePS2 (GGA-PBE, relaxed)
# Magnetic moment, μB per cell: 0.000
# E above lowest polymorph, meV/atom: 0
# Total energy, eV/atom: -4.662
# ΔE_f (raw), eV per atom: 0.416
data_CoGePS2
_chemical_formula_sum 'Co1 Ge1 P1 S2'
_space_group_name_H-M_alt 'P 4/m m m'
_space_group_IT_number 123
_space_group_name_Hall '-P 4 2'
_cell_length_a 4.704
_cell_length_b 4.704
_cell_length_c 4.085
_cell_angle_alpha 90.00
_cell_angle_beta 90.00
_cell_angle_gamma 90.00
loop_
_atom_site_label
_atom_site_type_symbol
_atom_site_fract_x
_atom_site_fract_y
_atom_site_fract_z
Co1 Co 0.000 0.000 0.000
Ge1 Ge 0.500 0.500 0.500
P1 P 0.000 0.000 0.500
S1 S 0.000 0.500 0.000


No. 4
# Sc2Co2Ge2P (GGA-PBE, relaxed)
# Magnetic moment, μB per cell: 0.003
# Total energy, eV/atom: -6.349
data_Sc2Co2Ge2P
_chemical_formula_sum 'Sc4 Co4 Ge4 P2'
_space_group_name_H-M_alt 'I 4/m m m'
_space_group_IT_number 139
_space_group_name_Hall '-I 4 2'
_cell_length_a 4.117
_cell_length_b 4.117
_cell_length_c 13.824
_cell_angle_alpha 90.00
_cell_angle_beta 90.00
_cell_angle_gamma 90.00
loop_
_atom_site_label
_atom_site_type_symbol
_atom_site_fract_x
_atom_site_fract_y
_atom_site_fract_z
Sc1 Sc 0.000 0.000 0.179
Co1 Co 0.000 0.500 0.000
Ge1 Ge 0.000 0.000 0.380
P1 P 0.000 0.000 0.000


No. 5
# CoGePSe2 (GGA-PBE, relaxed)
# Magnetic moment, μB per cell: 1.492
# Total energy, eV/atom: -4.315
# ΔE_f (raw), eV per atom: 0.506
data_CoGePSe2
_chemical_formula_sum 'Co1 Ge1 P1 Se2'
_space_group_name_H-M_alt 'P 4/m m m'
_space_group_IT_number 123
_space_group_name_Hall '-P 4 2'
_cell_length_a 5.031
_cell_length_b 5.031
_cell_length_c 4.150
_cell_angle_alpha 90.00
_cell_angle_beta 90.00
_cell_angle_gamma 90.00
loop_
_atom_site_label
_atom_site_type_symbol
_atom_site_fract_x
_atom_site_fract_y
_atom_site_fract_z
Co1 Co 0.000 0.000 0.000
Ge1 Ge 0.500 0.500 0.000
P1 P 0.000 0.000 0.500
Se1 Se 0.000 0.500 0.500


No. 6
# Co2SiGeP (GGA-PBE, relaxed)
# Magnetic moment, μB per cell: 1.524
# Total energy, eV/atom: -5.017
# ΔE_f (raw), eV per atom: 0.915
data_Co2SiGeP
_chemical_formula_sum 'Co2 Si1 Ge1 P1'
_space_group_name_H-M_alt 'P 4/m m m'
_space_group_IT_number 123
_space_group_name_Hall '-P 4 2'
_cell_length_a 4.241
_cell_length_b 4.241
_cell_length_c 4.743
_cell_angle_alpha 90.00
_cell_angle_beta 90.00
_cell_angle_gamma 90.00
loop_
_atom_site_label
_atom_site_type_symbol
_atom_site_fract_x
_atom_site_fract_y
_atom_site_fract_z
Co1 Co 0.000 0.500 0.000
Si1 Si 0.000 0.000 0.000
Ge1 Ge 0.000 0.000 0.500
P1 P 0.500 0.500 0.500


Q: Which value of magnetic moment does entry 5 give?
A: 1.492 μB per cell


Q: magnetic moment of number 5 (CoGePSe2)?
A: 1.492 μB per cell


Repeat the first record exactly.
# PmCo2Ge2P (GGA-PBE, relaxed)
# Magnetic moment, μB per cell: 0.000
# Total energy, eV/atom: -6.028
data_PmCo2Ge2P
_chemical_formula_sum 'Pm1 Co2 Ge2 P1'
_space_group_name_H-M_alt 'P 4/m m m'
_space_group_IT_number 123
_space_group_name_Hall '-P 4 2'
_cell_length_a 4.250
_cell_length_b 4.250
_cell_length_c 5.537
_cell_angle_alpha 90.00
_cell_angle_beta 90.00
_cell_angle_gamma 90.00
loop_
_atom_site_label
_atom_site_type_symbol
_atom_site_fract_x
_atom_site_fract_y
_atom_site_fract_z
Pm1 Pm 0.000 0.000 0.000
Co1 Co 0.000 0.500 0.500
Ge1 Ge 0.500 0.500 0.237
P1 P 0.000 0.000 0.500